Material: NaZn3P
Method: DFT, PBE
State: optimized geometry

It has space group Pm-3m (No. 221), with a = 4.997 Å, b = 4.997 Å, c = 4.997 Å, α = 90.00°, β = 90.00° and γ = 90.00°. The inequivalent atoms are Na at (0.000, 0.000, 0.000), Zn at (0.000, 0.000, 0.500) and P at (0.500, 0.500, 0.500).

The value obtained for the calculated total energy is -5.02 eV/cell. For the polymorph energy (0 for the lowest one), the calculation gives 4.21 eV per formula unit. The calculation puts the energy of formation at 533 kJ/mol of formula units.

Material: SbMoSe2
Method: DFT, PBE
State: optimized geometry

It has space group Pm (No. 6), with a = 3.338 Å, b = 4.843 Å, c = 5.826 Å, α = 90.00°, β = 106.39° and γ = 90.00°. The inequivalent atoms are Sb at (0.000, 0.000, 0.000), Mo at (0.396, 0.500, 0.789), Se at (0.302, 0.000, 0.597) and Se at (0.732, 0.500, 0.457).

The value obtained for the formation energy (no corrections) is 0.7 eV/f.u. The value obtained for the calculated total energy is -21.18 eV/cell.